# NbSbRu2

Crystalline NbSbRu2 at its relaxed geometry (PBE-GGA, the Alexandria database).

```
NbSbRu2
1.0
4.265 0.000 0.000
0.000 4.265 0.000
0.000 0.000 3.640
Nb Sb Ru
1 1 2
Direct
0.000 0.000 0.000
0.500 0.500 0.000
0.000 0.500 0.500
0.500 0.000 0.500
```

Calculated values
crystal system = tetragonal
DOS(E_F) = 1.1031 states/eV per atom
formation energy (no corrections) = -0.24 eV/f.u.
spin magnetization = 0.00 μB/cell
SG = No. 123


# NbSbRu2

Crystalline NbSbRu2 at its relaxed geometry (PBE-GGA, the Alexandria database).

```
NbSbRu2
1.0
3.081 0.000 0.000
0.000 3.081 0.000
0.000 0.000 7.032
Nb Sb Ru
1 1 2
Direct
0.000 0.000 0.000
0.000 0.000 0.500
0.500 0.500 0.250
0.500 0.500 0.750
```

Calculated values
crystal system = tetragonal
DOS(E_F) = 1.0520 states/eV per atom
formation energy (no corrections) = -0.14 eV/f.u.
spin magnetization = 0.00 μB/cell
SG = No. 123


# NbSb2Ru2

Crystalline NbSb2Ru2 at its relaxed geometry (PBE-GGA, the Alexandria database).

```
NbSb2Ru2
1.0
7.684 0.000 0.000
0.000 7.684 0.000
0.000 0.000 3.019
Nb Sb Ru
2 4 4
Direct
0.000 0.000 0.000
0.500 0.500 0.000
0.153 0.347 0.000
0.347 0.847 0.000
0.653 0.153 0.000
0.847 0.653 0.000
0.146 0.646 0.500
0.354 0.146 0.500
0.646 0.854 0.500
0.854 0.354 0.500
```

Calculated values
crystal system = tetragonal
DOS(E_F) = 0.9049 states/eV per atom
formation energy (no corrections) = 0.50 eV/f.u.
spin magnetization = 0.00 μB/cell
SG = No. 127


# Nb3SbRu

Crystalline Nb3SbRu at its relaxed geometry (PBE-GGA, the Alexandria database).

```
Nb3SbRu
1.0
4.828 0.000 0.000
0.000 4.828 0.000
0.000 0.000 4.828
Nb Sb Ru
3 1 1
Direct
0.000 0.000 0.500
0.000 0.500 0.000
0.500 0.000 0.000
0.500 0.500 0.500
0.000 0.000 0.000
```

Calculated values
crystal system = cubic
DOS(E_F) = 0.9794 states/eV per atom
distance to the lowest polymorph of the same formula = 0 meV per atom
formation energy (no corrections) = 3.92 eV/f.u.
spin magnetization = 0.00 μB/cell
SG = No. 221